No. 1
First-principles (GGA-PBE) data for a relaxed SrCaIrO6 crystal, as listed in Alexandria.

Properties
Its calculated density is 4.92 g/cm³. Its formation energy without anion corrections is -1.583 eV/atom.

abc: 5.646 5.646 10.160
angles: 90.00 90.00 120.00
Site moments in Bohr magnetons follow the coordinates.
Fractional positions:
O  0.664  0.056  0.356  0.06
O  0.608  0.664  0.644  0.06
Sr  0.000  0.000  0.000  0.01
O  0.336  0.392  0.856  0.06
O  0.336  0.944  0.644  0.06
O  0.392  0.056  0.144  0.06
O  0.944  0.608  0.356  0.06
O  0.392  0.336  0.356  0.06
Ca  0.333  0.667  0.250  0.01
O  0.056  0.664  0.856  0.06
O  0.944  0.336  0.144  0.06
O  0.608  0.944  0.856  0.06
Ir  0.667  0.333  0.250  0.45
Ir  0.333  0.667  0.750  0.45
Sr  0.000  0.000  0.500  0.01
Ca  0.667  0.333  0.750  0.01
O  0.664  0.608  0.144  0.06
O  0.056  0.392  0.644  0.06

No. 2
First-principles (GGA-PBE) data for a relaxed SrCa2IrO5 crystal, as listed in Alexandria.

Properties
Its calculated density is 5.85 g/cm³. Its formation energy without anion corrections is -2.176 eV/atom.

abc: 3.800 5.769 6.666
angles: 115.64 106.56 90.00
Site moments in Bohr magnetons follow the coordinates.
Fractional positions:
O  0.000  0.000  0.000  0.04
O  0.367  0.110  0.733  0.01
Ir  0.500  0.000  0.000  0.14
Ca  0.786  0.786  0.571  0.00
O  0.633  0.376  0.267  0.01
O  0.633  0.890  0.267  0.01
Sr  0.000  0.500  0.000  0.00
Ca  0.214  0.214  0.429  0.00
O  0.367  0.624  0.733  0.01

No. 3
First-principles (GGA-PBE) data for a relaxed Sr2CaIrO6 crystal, as listed in Alexandria.

Properties
Its calculated density is 5.88 g/cm³. Its formation energy without anion corrections is -2.125 eV/atom.

abc: 5.937 5.799 10.063
angles: 55.16 90.00 90.00
Site moments in Bohr magnetons follow the coordinates.
Fractional positions:
O  0.730  0.863  0.453  0.17
O  0.189  0.769  0.459  0.17
O  0.689  0.231  0.041  0.17
Ca  0.500  0.500  0.500  0.01
O  0.527  0.689  0.229  0.17
Sr  0.547  0.760  0.751  0.02
Ir  0.000  0.000  0.500  1.52
O  0.973  0.689  0.729  0.17
O  0.473  0.311  0.771  0.17
Sr  0.453  0.240  0.249  0.02
O  0.811  0.231  0.541  0.17
O  0.770  0.863  0.953  0.17
Ca  0.000  0.500  0.000  0.01
O  0.027  0.311  0.271  0.17
Ir  0.500  0.000  0.000  1.52
Sr  0.953  0.760  0.251  0.02
O  0.311  0.769  0.959  0.17
Sr  0.047  0.240  0.749  0.02
O  0.230  0.137  0.047  0.17
O  0.270  0.137  0.547  0.17

No. 4
First-principles (GGA-PBE) data for a relaxed SrCa3IrO6 crystal, as listed in Alexandria.

Properties
Its calculated density is 5.48 g/cm³. Its formation energy without anion corrections is -2.335 eV/atom.

abc: 6.695 6.695 6.716
angles: 89.21 89.21 92.19
Site moments in Bohr magnetons follow the coordinates.
Fractional positions:
O  0.292  0.452  0.671  0.05
O  0.061  0.422  0.040  0.05
Sr  0.252  0.115  0.865  0.00
O  0.796  0.080  0.306  0.07
Ir  0.503  0.002  0.253  0.62
Ca  0.107  0.253  0.361  0.00
O  0.436  0.058  0.544  0.06
O  0.453  0.297  0.180  0.05
Ca  0.249  0.751  0.500  0.00
Ir  0.998  0.497  0.747  0.62
Sr  0.885  0.748  0.135  0.00
O  0.942  0.564  0.456  0.06
O  0.578  0.939  0.960  0.05
Ca  0.607  0.393  0.500  0.00
O  0.069  0.791  0.795  0.06
Ca  0.751  0.249  0.000  0.00
Ca  0.747  0.893  0.639  0.00
Ca  0.394  0.606  0.000  0.00
O  0.209  0.931  0.205  0.06
O  0.920  0.204  0.694  0.07
O  0.548  0.708  0.329  0.05
O  0.703  0.547  0.820  0.05